First-principles (PBE-GGA) data for an optimized crystal structure of CsIn2SnBi, as listed in Alexandria via LeMat-Bulk.

Unit cell a=5.4159 b=5.4159 c=12.0664 alpha=90.00 beta=90.00 gamma=90.00
Last column: nearest neighbours and their distance in Å.
Fractional positions:
Cs 0.0000 0.0000 0.0000  4 Sn 4.05, 4 Bi 4.05, 8 In 4.10
Cs 0.5000 0.5000 0.5000  4 Sn 4.05, 4 Bi 4.05, 8 In 4.10
In 0.0000 0.0000 0.3779  1 In 2.95, 2 Sn 3.12, 2 Bi 3.12
In 0.0000 0.0000 0.6221  1 In 2.95, 2 Sn 3.12, 2 Bi 3.12
In 0.5000 0.5000 0.1221  1 In 2.95, 2 Sn 3.12, 2 Bi 3.12
In 0.5000 0.5000 0.8779  1 In 2.95, 2 Sn 3.12, 2 Bi 3.12
Sn 0.0000 0.5000 0.7500  4 In 3.12
Sn 0.5000 0.0000 0.2500  4 In 3.12
Bi 0.0000 0.5000 0.2500  4 In 3.12
Bi 0.5000 0.0000 0.7500  4 In 3.12

Calculated values
Space-group type: I-4m2 (119)
Theoretical density (kg/m3): 6477
Uncorrected energy (eV per cell): -30.2
Spin magnetization (μB/cell): 0.0
Formation energy from the elements (eV/atom): -0.174

---

First-principles (PBE-GGA) data for an optimized crystal structure of AlP2IrO, as listed in Alexandria via LeMat-Bulk.

Unit cell a=4.7874 b=4.7874 c=3.2780 alpha=90.00 beta=90.00 gamma=90.00
Last column: nearest neighbours and their distance in Å.
Fractional positions:
Al 0.0000 0.0000 0.0000  2 O 1.64
P 0.0000 0.5000 0.0000  2 Al 2.39
P 0.5000 0.0000 0.0000  2 Al 2.39
Ir 0.5000 0.5000 0.5000  8 P 2.90
O 0.0000 0.0000 0.5000  2 Al 1.64

Calculated values
Space-group type: P4/mmm (123)
Theoretical density (kg/m3): 6568
Uncorrected energy (eV per cell): -27.7
Relative energy among the computed polymorphs (meV/atom): 0
Spin magnetization (μB/cell): 0.0
ΔE_f (raw) (eV per atom): 0.13

---

First-principles (PBE-GGA) data for an optimized crystal structure of Ce2TlCl7, as listed in Alexandria via LeMat-Bulk.

Unit cell a=8.2658 b=8.2658 c=5.4972 alpha=90.00 beta=90.00 gamma=115.42
Last column: nearest neighbours and their distance in Å.
Fractional positions:
Ce 0.1988 0.8012 0.0000  7 Cl 2.76-2.89
Ce 0.8012 0.1988 0.0000  7 Cl 2.76-2.89
Tl 0.5000 0.5000 0.5000  10 Cl 3.74-3.93
Cl 0.0000 0.0000 0.0000  2 Ce 2.78
Cl 0.1750 0.4481 0.0000  2 Ce 2.84-2.89
Cl 0.2185 0.7815 0.5000  2 Ce 2.76
Cl 0.4481 0.1750 0.0000  2 Ce 2.84-2.89
Cl 0.5519 0.8250 0.0000  2 Ce 2.84-2.89
Cl 0.7815 0.2185 0.5000  2 Ce 2.76
Cl 0.8250 0.5519 0.0000  2 Ce 2.84-2.89

Calculated values
Space-group type: Cmmm (65)
Theoretical density (kg/m3): 3587
Uncorrected energy (eV per cell): -46.7
Spin magnetization (μB/cell): 2.0
ΔE_f (raw) (eV per atom): -1.96

---

First-principles (PBE-GGA) data for an optimized crystal structure of MgReOs, as listed in Alexandria via LeMat-Bulk.

Unit cell a=5.9748 b=5.9748 c=5.9748 alpha=90.00 beta=90.00 gamma=90.00
Last column: nearest neighbours and their distance in Å.
Fractional positions:
Mg 0.0000 0.0000 0.0000  4 Os 2.59
Mg 0.0000 0.5000 0.5000  4 Os 2.59
Mg 0.5000 0.0000 0.5000  4 Os 2.59
Mg 0.5000 0.5000 0.0000  4 Os 2.59
Re 0.0000 0.0000 0.5000  4 Os 2.59
Re 0.0000 0.5000 0.0000  4 Os 2.59
Re 0.5000 0.0000 0.0000  4 Os 2.59
Re 0.5000 0.5000 0.5000  4 Os 2.59
Os 0.2500 0.2500 0.7500  4 Re 2.59, 4 Mg 2.59
Os 0.2500 0.7500 0.2500  4 Re 2.59, 4 Mg 2.59
Os 0.7500 0.2500 0.2500  4 Re 2.59, 4 Mg 2.59
Os 0.7500 0.7500 0.7500  4 Re 2.59, 4 Mg 2.59

Calculated values
Space-group type: F-43m (216)
Theoretical density (kg/m3): 12480
Uncorrected energy (eV per cell): -95.6
Relative energy among the computed polymorphs (meV/atom): 337
Spin magnetization (μB/cell): 0.0
Formation energy from the elements (eV/atom): 0.454